Record 1
Compound: Tm2VZn
Source: Alexandria
Functional: PBE-GGA
Structure: optimized geometry

## Properties
As for the total energy: -4.81 eV per atom. As for the crystal system: cubic. Its space-group type is Fm-3m (225). The calculation puts the formation energy at 0.021 eV/atom. The calculation puts the calculated volume at 87.6 Å³ per cell.

a b c (Å): 4.984 4.984 4.984
angles (deg): 60.00 60.00 60.00
Atoms (fractional coordinates):
1 Tm 0.250 0.250 0.250
2 Tm 0.750 0.750 0.750
3 V 0.000 0.000 0.000
4 Zn 0.500 0.500 0.500

Record 2
Compound: Tm2VZn
Source: Alexandria
Functional: PBE-GGA
Structure: optimized geometry

## Properties
As for the total energy: -4.30 eV per atom. As for the crystal system: trigonal. Its space-group type is R-3m (166). The calculation puts the formation energy at 0.531 eV/atom. The calculation puts the calculated volume at 95.1 Å³ per cell.

a b c (Å): 10.560 10.560 10.560
angles (deg): 17.71 17.71 17.71
Atoms (fractional coordinates):
1 Tm 0.091 0.091 0.091
2 Tm 0.909 0.909 0.909
3 V 0.000 0.000 0.000
4 Zn 0.500 0.500 0.500

Q: What is the formula in the first record?
A: Tm2VZn

Q: Which value of calculated volume does entry 1 give?
A: 87.6 Å³ per cell

What did the second record say?
Compound: Tm2VZn
Source: Alexandria
Functional: PBE-GGA
Structure: optimized geometry

## Properties
As for the total energy: -4.30 eV per atom. As for the crystal system: trigonal. Its space-group type is R-3m (166). The calculation puts the formation energy at 0.531 eV/atom. The calculation puts the calculated volume at 95.1 Å³ per cell.

a b c (Å): 10.560 10.560 10.560
angles (deg): 17.71 17.71 17.71
Atoms (fractional coordinates):
1 Tm 0.091 0.091 0.091
2 Tm 0.909 0.909 0.909
3 V 0.000 0.000 0.000
4 Zn 0.500 0.500 0.500

Q: Among the records above, which one has the highest calculated volume?
A: number 2